A:
NdSm7Y12: optimized geometry, PBE-GGA.

SG = No. 148

Cell: 8.778 8.778 8.778 Å, 95.22 95.22 95.22°
Sites, in units of the cell vectors:
Nd1 0.000 0.000 0.000
Sm1 0.915 0.645 0.980
Sm2 0.355 0.020 0.085
Sm3 0.020 0.085 0.355
Sm4 0.500 0.500 0.500
Sm5 0.980 0.915 0.645
Sm6 0.645 0.980 0.915
Sm7 0.085 0.355 0.020
Y1 0.814 0.250 0.684
Y2 0.750 0.316 0.186
Y3 0.481 0.148 0.416
Y4 0.852 0.584 0.519
Y5 0.316 0.186 0.750
Y6 0.584 0.519 0.852
Y7 0.416 0.481 0.148
Y8 0.684 0.814 0.250
Y9 0.148 0.416 0.481
Y10 0.519 0.852 0.584
Y11 0.250 0.684 0.814
Y12 0.186 0.750 0.316

***

B:
NdSm7Y12: optimized geometry, PBE-GGA.

SG = No. 204

Cell: 9.809 9.809 9.809 Å, 109.47 109.47 109.47°
Sites, in units of the cell vectors:
Nd1 0.000 0.000 0.000
Sm1 0.500 0.500 0.000
Sm2 0.000 0.500 0.500
Sm3 0.500 0.000 0.500
Sm4 0.500 0.500 0.500
Sm5 0.000 0.000 0.500
Sm6 0.500 0.000 0.000
Sm7 0.000 0.500 0.000
Y1 0.498 0.749 0.749
Y2 0.999 0.749 0.251
Y3 0.502 0.251 0.251
Y4 0.001 0.251 0.749
Y5 0.749 0.001 0.251
Y6 0.749 0.498 0.749
Y7 0.251 0.999 0.749
Y8 0.251 0.502 0.251
Y9 0.749 0.749 0.498
Y10 0.251 0.251 0.502
Y11 0.749 0.251 0.999
Y12 0.251 0.749 0.001

***

Which structure above is the least stable one? B is the least stable one.